1.
Entry from Alexandria: a relaxed Na2PuCuO6 crystal (PBE).

Cell: 5.708 5.577 9.462 Å, 90.00 125.95 90.00°
Sites, in units of the cell vectors:
Na: 0.237 0.030 0.242
Na: 0.237 0.470 0.742
Na: 0.763 0.530 0.258
Na: 0.763 0.970 0.758
Pu: 0.500 0.000 0.000
Pu: 0.500 0.500 0.500
Cu: 0.000 0.000 0.500
Cu: 0.000 0.500 0.000
O: 0.162 0.033 0.739
O: 0.162 0.467 0.239
O: 0.239 0.720 0.540
O: 0.239 0.780 0.040
O: 0.371 0.229 0.551
O: 0.371 0.271 0.051
O: 0.629 0.729 0.949
O: 0.629 0.771 0.449
O: 0.761 0.220 0.960
O: 0.761 0.280 0.460
O: 0.838 0.533 0.761
O: 0.838 0.967 0.261

Values from the calculation:
- energy relative to the elements, uncorrected (eV/atom) = -1.659
- ρ (kg/m3) = 6123
- space-group type = P2_1/c (14)

2.
Entry from Alexandria: a relaxed RbNaCu2O crystal (PBE).

Cell: 5.689 5.689 4.853 Å, 90.00 90.00 90.00°
Sites, in units of the cell vectors:
Rb: 0.000 0.000 0.000
Na: 0.500 0.500 0.500
Cu: 0.000 0.500 0.000
Cu: 0.500 0.000 0.000
O: 0.000 0.000 0.500

Values from the calculation:
- energy relative to the elements, uncorrected (eV/atom) = 0.962
- ρ (kg/m3) = 2659
- space-group type = P4/mmm (123)

3.
Entry from Alexandria: a relaxed NaCuRe2O crystal (PBE).

Cell: 3.984 3.984 4.466 Å, 90.00 90.00 90.00°
Sites, in units of the cell vectors:
Na: 0.000 0.000 0.000
Cu: 0.500 0.500 0.000
Re: 0.000 0.500 0.500
Re: 0.500 0.000 0.500
O: 0.000 0.000 0.500

Values from the calculation:
- energy relative to the elements, uncorrected (eV/atom) = 0.448
- ρ (kg/m3) = 11127
- space-group type = P4/mmm (123)

4.
Entry from Alexandria: a relaxed Na3CuRh3O8 crystal (PBE).

Cell: 6.399 6.399 6.399 Å, 57.92 57.92 57.92°
Sites, in units of the cell vectors:
Na: 0.000 0.500 0.500
Na: 0.500 0.000 0.500
Na: 0.500 0.500 0.000
Cu: 0.500 0.500 0.500
Rh: 0.000 0.000 0.500
Rh: 0.000 0.500 0.000
Rh: 0.500 0.000 0.000
O: 0.227 0.732 0.732
O: 0.234 0.234 0.234
O: 0.268 0.268 0.773
O: 0.268 0.773 0.268
O: 0.732 0.227 0.732
O: 0.732 0.732 0.227
O: 0.766 0.766 0.766
O: 0.773 0.268 0.268

Values from the calculation:
- energy relative to the elements, uncorrected (eV/atom) = -1.006
- ρ (kg/m3) = 5356
- space-group type = R-3m (166)

5.
Entry from Alexandria: a relaxed Na2CuRh2O6 crystal (PBE).

Cell: 5.334 5.334 5.653 Å, 98.61 98.61 120.28°
Sites, in units of the cell vectors:
Na: 0.163 0.837 0.000
Na: 0.837 0.163 0.000
Cu: 0.000 0.000 0.500
Rh: 0.336 0.664 0.500
Rh: 0.664 0.336 0.500
O: 0.057 0.400 0.690
O: 0.268 0.268 0.306
O: 0.400 0.057 0.690
O: 0.600 0.943 0.310
O: 0.732 0.732 0.694
O: 0.943 0.600 0.310

Values from the calculation:
- energy relative to the elements, uncorrected (eV/atom) = -0.960
- ρ (kg/m3) = 5156
- space-group type = C2/m (12)

6.
Entry from Alexandria: a relaxed NaCuRhO4 crystal (PBE).

Cell: 6.413 6.413 6.413 Å, 126.04 122.20 83.04°
Sites, in units of the cell vectors:
Na: 0.413 0.163 0.250
Na: 0.587 0.837 0.750
Cu: 0.000 0.000 0.500
Cu: 0.000 0.500 0.000
Rh: 0.000 0.500 0.500
Rh: 0.500 0.500 0.000
O: 0.156 0.709 0.447
O: 0.237 0.291 0.947
O: 0.267 0.304 0.537
O: 0.267 0.730 0.963
O: 0.733 0.270 0.037
O: 0.733 0.696 0.463
O: 0.763 0.709 0.053
O: 0.844 0.291 0.553

Values from the calculation:
- energy relative to the elements, uncorrected (eV/atom) = -0.853
- ρ (kg/m3) = 4860
- space-group type = Imma (74)

7.
Entry from Alexandria: a relaxed Na4CuRh3O8 crystal (PBE).

Cell: 6.346 6.346 6.346 Å, 59.39 59.39 59.39°
Sites, in units of the cell vectors:
Na: 0.000 0.000 0.000
Na: 0.000 0.500 0.500
Na: 0.500 0.000 0.500
Na: 0.500 0.500 0.000
Cu: 0.500 0.500 0.500
Rh: 0.000 0.000 0.500
Rh: 0.000 0.500 0.000
Rh: 0.500 0.000 0.000
O: 0.228 0.736 0.736
O: 0.233 0.233 0.233
O: 0.264 0.264 0.772
O: 0.264 0.772 0.264
O: 0.736 0.228 0.736
O: 0.736 0.736 0.228
O: 0.767 0.767 0.767
O: 0.772 0.264 0.264

Values from the calculation:
- energy relative to the elements, uncorrected (eV/atom) = -1.082
- ρ (kg/m3) = 5518
- space-group type = R-3m (166)

8.
Entry from Alexandria: a relaxed NaCu3Rh4O12 crystal (PBE).

Cell: 6.467 6.467 6.467 Å, 109.47 109.47 109.47°
Sites, in units of the cell vectors:
Na: 0.000 0.000 0.000
Cu: 0.000 0.500 0.500
Cu: 0.500 0.000 0.500
Cu: 0.500 0.500 0.000
Rh: 0.000 0.000 0.500
Rh: 0.000 0.500 0.000
Rh: 0.500 0.000 0.000
Rh: 0.500 0.500 0.500
O: 0.144 0.314 0.830
O: 0.170 0.484 0.314
O: 0.170 0.856 0.686
O: 0.314 0.170 0.484
O: 0.314 0.830 0.144
O: 0.484 0.314 0.170
O: 0.516 0.686 0.830
O: 0.686 0.170 0.856
O: 0.686 0.830 0.516
O: 0.830 0.144 0.314
O: 0.830 0.516 0.686
O: 0.856 0.686 0.170

Values from the calculation:
- energy relative to the elements, uncorrected (eV/atom) = -0.740
- ρ (kg/m3) = 6517
- space-group type = Im-3 (204)

9.
Entry from Alexandria: a relaxed NaCuRuO4 crystal (PBE).

Cell: 6.488 6.488 6.488 Å, 127.04 123.68 80.97°
Sites, in units of the cell vectors:
Na: 0.413 0.163 0.250
Na: 0.587 0.837 0.750
Cu: 0.000 0.000 0.500
Cu: 0.000 0.500 0.000
Ru: 0.000 0.500 0.500
Ru: 0.500 0.500 0.000
O: 0.154 0.701 0.453
O: 0.252 0.299 0.953
O: 0.263 0.297 0.534
O: 0.263 0.729 0.966
O: 0.737 0.271 0.034
O: 0.737 0.703 0.466
O: 0.748 0.701 0.047
O: 0.846 0.299 0.547

Values from the calculation:
- energy relative to the elements, uncorrected (eV/atom) = -0.973
- ρ (kg/m3) = 4778
- space-group type = Imma (74)

10.
Entry from Alexandria: a relaxed Na3CuRu3O8 crystal (PBE).

Cell: 6.513 6.513 6.513 Å, 55.48 55.48 55.48°
Sites, in units of the cell vectors:
Na: 0.000 0.500 0.500
Na: 0.500 0.000 0.500
Na: 0.500 0.500 0.000
Cu: 0.500 0.500 0.500
Ru: 0.000 0.000 0.500
Ru: 0.000 0.500 0.000
Ru: 0.500 0.000 0.000
O: 0.229 0.735 0.735
O: 0.237 0.237 0.237
O: 0.265 0.265 0.771
O: 0.265 0.771 0.265
O: 0.735 0.229 0.735
O: 0.735 0.735 0.229
O: 0.763 0.763 0.763
O: 0.771 0.265 0.265

Values from the calculation:
- energy relative to the elements, uncorrected (eV/atom) = -1.039
- ρ (kg/m3) = 5352
- space-group type = R-3m (166)

11.
Entry from Alexandria: a relaxed Na2CuRuO4 crystal (PBE).

Cell: 5.446 5.446 7.379 Å, 90.00 90.00 90.00°
Sites, in units of the cell vectors:
Na: 0.000 0.000 0.000
Na: 0.000 0.500 0.250
Na: 0.500 0.000 0.750
Na: 0.500 0.500 0.500
Cu: 0.000 0.000 0.500
Cu: 0.500 0.500 0.000
Ru: 0.000 0.500 0.750
Ru: 0.500 0.000 0.250
O: 0.188 0.262 0.628
O: 0.238 0.688 0.872
O: 0.262 0.812 0.372
O: 0.312 0.238 0.128
O: 0.688 0.762 0.128
O: 0.738 0.188 0.372
O: 0.762 0.312 0.872
O: 0.812 0.738 0.628

Values from the calculation:
- energy relative to the elements, uncorrected (eV/atom) = -1.003
- ρ (kg/m3) = 4168
- space-group type = I-4 (82)

12.
Entry from Alexandria: a relaxed NaCu2RuO6 crystal (PBE).

Cell: 5.658 5.658 5.658 Å, 55.99 55.99 55.99°
Sites, in units of the cell vectors:
Na: 0.000 0.000 0.000
Cu: 0.257 0.257 0.257
Cu: 0.702 0.702 0.702
Ru: 0.495 0.495 0.495
O: 0.120 0.733 0.455
O: 0.347 0.555 0.885
O: 0.455 0.120 0.733
O: 0.555 0.885 0.347
O: 0.733 0.455 0.120
O: 0.885 0.347 0.555

Values from the calculation:
- energy relative to the elements, uncorrected (eV/atom) = -0.759
- ρ (kg/m3) = 4961
- space-group type = R3 (146)

| no. | magnetization (μB/f.u.) |
| --- | --- |
| 1 | 1.06 |
| 2 | 1.38 |
| 3 | 0.00 |
| 4 | 2.97 |
| 5 | 3.09 |
| 6 | 0.57 |
| 7 | 2.09 |
| 8 | 2.37 |
| 9 | 1.64 |
| 10 | 5.97 |
| 11 | 0.88 |
| 12 | 0.00 |